A relaxed K2HoRu3O12 crystal, computed with GGA-PBE.

```
K2HoRu3O12
1.0
3.6574 2.1116 6.1556
-3.6574 2.1116 6.1556
0.0000 -4.2232 6.1556
K Ho Ru O
2 1 3 12
direct
0.1282 0.1282 0.1282 K
0.8718 0.8718 0.8718 K
0.5000 0.5000 0.5000 Ho
0.0000 0.5000 0.5000 Ru
0.5000 0.0000 0.5000 Ru
0.5000 0.5000 0.0000 Ru
0.1384 0.5823 0.5823 O
0.1971 0.1971 0.5772 O
0.1971 0.5772 0.1971 O
0.4177 0.4177 0.8616 O
0.4177 0.8616 0.4177 O
0.4228 0.8029 0.8029 O
0.5772 0.1971 0.1971 O
0.5823 0.1384 0.5823 O
0.5823 0.5823 0.1384 O
0.8029 0.4228 0.8029 O
0.8029 0.8029 0.4228 O
0.8616 0.4177 0.4177 O
```

- Mass density: 4.30 g/cm³
- Electronic total energy: -6.497 eV/atom
- Energy relative to the elements, uncorrected: -1269 meV per atom

---

A relaxed K2HoSO6 crystal, computed with GGA-PBE.

```
K2HoSO6
1.0
6.1565 0.0000 0.0000
-3.0783 5.3317 0.0000
0.0000 0.0000 5.5673
K Ho S O
2 1 1 6
direct
0.3333 0.6667 0.3977 K
0.6667 0.3333 0.6023 K
0.0000 0.0000 0.0000 Ho
0.0000 0.0000 0.5000 S
0.1290 0.2580 0.6782 O
0.1290 0.8710 0.6782 O
0.2580 0.1290 0.3218 O
0.7420 0.8710 0.6782 O
0.8710 0.1290 0.3218 O
0.8710 0.7420 0.3218 O
```

- Mass density: 3.37 g/cm³
- Electronic total energy: -5.700 eV/atom
- Energy relative to the elements, uncorrected: -1635 meV per atom

---

A relaxed KHoS2O8 crystal, computed with GGA-PBE.

```
KHoS2O8
1.0
5.3336 0.0000 0.0000
-2.6668 4.6190 0.0000
0.0000 0.0000 8.1232
K Ho S O
1 1 2 8
direct
0.0000 0.0000 0.0000 K
0.0000 0.0000 0.5000 Ho
0.3333 0.6667 0.7360 S
0.6667 0.3333 0.2640 S
0.1256 0.3718 0.6703 O
0.2462 0.8744 0.6703 O
0.3333 0.6667 0.9151 O
0.3718 0.2462 0.3297 O
0.6282 0.7538 0.6703 O
0.6667 0.3333 0.0849 O
0.7538 0.1256 0.3297 O
0.8744 0.6282 0.3297 O
```

- Mass density: 3.29 g/cm³
- Electronic total energy: -6.561 eV/atom
- Energy relative to the elements, uncorrected: -2095 meV per atom

---

A relaxed KHoSO crystal, computed with GGA-PBE.

```
KHoSO
1.0
6.4061 0.0000 0.0000
0.0000 3.6990 0.0000
-2.1226 0.0000 7.1323
K Ho S O
2 2 2 2
direct
0.0000 0.0000 0.0000 K
0.5000 0.5000 0.0000 K
0.1570 0.0000 0.4681 Ho
0.6570 0.5000 0.4681 Ho
0.0687 0.5000 0.7044 S
0.5687 0.0000 0.7044 S
0.2787 0.5000 0.3326 O
0.7787 0.0000 0.3326 O
```

- Mass density: 4.95 g/cm³
- Electronic total energy: -5.889 eV/atom
- Energy relative to the elements, uncorrected: -2199 meV per atom

---

A relaxed K2Ho2SbO6 crystal, computed with GGA-PBE.

```
K2Ho2SbO6
1.0
2.9565 -5.1048 0.0000
2.9565 5.1048 0.0000
-1.8607 0.0000 6.3925
K Ho Sb O
2 2 1 6
direct
0.1642 0.8358 0.0000 K
0.8358 0.1642 0.0000 K
0.3346 0.6654 0.5000 Ho
0.6654 0.3346 0.5000 Ho
0.0000 0.0000 0.5000 Sb
0.0494 0.3767 0.6739 O
0.2588 0.2588 0.3256 O
0.3767 0.0494 0.6739 O
0.6233 0.9506 0.3261 O
0.7412 0.7412 0.6744 O
0.9506 0.6233 0.3261 O
```

- Mass density: 5.39 g/cm³
- Electronic total energy: -6.470 eV/atom
- Energy relative to the elements, uncorrected: -2359 meV per atom

---

A relaxed K3HoSb2O9 crystal, computed with GGA-PBE.

```
K3HoSb2O9
1.0
5.8792 0.0000 0.0000
-2.9396 5.0915 0.0000
0.0000 0.0000 7.2596
K Ho Sb O
3 1 2 9
direct
0.0000 0.0000 0.0000 K
0.3333 0.6667 0.6647 K
0.6667 0.3333 0.3353 K
0.0000 0.0000 0.5000 Ho
0.3333 0.6667 0.1601 Sb
0.6667 0.3333 0.8399 Sb
0.0000 0.5000 0.0000 O
0.1749 0.3497 0.3159 O
0.1749 0.8251 0.3159 O
0.3497 0.1749 0.6841 O
0.5000 0.0000 0.0000 O
0.5000 0.5000 0.0000 O
0.6503 0.8251 0.3159 O
0.8251 0.1749 0.6841 O
0.8251 0.6503 0.6841 O
```

- Mass density: 5.12 g/cm³
- Electronic total energy: -5.778 eV/atom
- Energy relative to the elements, uncorrected: -1729 meV per atom

---

A relaxed K2HoSbO7 crystal, computed with GGA-PBE.

```
K2HoSbO7
1.0
-3.9986 5.7332 4.1750
3.9986 -5.7332 4.1750
3.9986 5.7332 -4.1750
K Ho Sb O
4 2 2 14
direct
0.0000 0.0000 0.0000 K
0.5000 0.0000 0.0000 K
0.5000 0.0000 0.5000 K
0.5000 0.5000 0.5000 K
0.0000 0.0000 0.5000 Ho
0.0000 0.5000 0.0000 Ho
0.0000 0.5000 0.5000 Sb
0.5000 0.5000 0.0000 Sb
0.0382 0.2504 0.4332 O
0.0382 0.6050 0.7878 O
0.1142 0.8642 0.2500 O
0.2912 0.7030 0.5882 O
0.3172 0.2504 0.7122 O
0.3172 0.6050 0.0668 O
0.3851 0.2970 0.0882 O
0.6149 0.7030 0.9118 O
0.6828 0.3950 0.9332 O
0.6828 0.7496 0.2878 O
0.7088 0.2970 0.4118 O
0.8858 0.1358 0.7500 O
0.9618 0.3950 0.2122 O
0.9618 0.7496 0.5668 O
```

- Mass density: 4.14 g/cm³
- Electronic total energy: -5.575 eV/atom
- Energy relative to the elements, uncorrected: -1429 meV per atom

---

A relaxed K2HoSb2O6 crystal, computed with GGA-PBE.

```
K2HoSb2O6
1.0
4.9812 -3.1373 0.0000
4.9812 3.1373 0.0000
-3.0907 0.0000 6.6010
K Ho Sb O
2 1 2 6
direct
0.1986 0.1986 0.1423 K
0.8014 0.8014 0.8577 K
0.0000 0.0000 0.5000 Ho
0.4288 0.4288 0.7612 Sb
0.5712 0.5712 0.2388 Sb
0.2110 0.7014 0.2555 O
0.2366 0.2366 0.5335 O
0.2986 0.7890 0.7445 O
0.7014 0.2110 0.2555 O
0.7634 0.7634 0.4665 O
0.7890 0.2986 0.7445 O
```

- Mass density: 4.69 g/cm³
- Electronic total energy: -5.930 eV/atom
- Energy relative to the elements, uncorrected: -1860 meV per atom

---

A relaxed K3Ho2ScO6 crystal, computed with GGA-PBE.

```
K3Ho2ScO6
1.0
2.9378 -5.0890 0.0000
2.9378 5.0890 0.0000
-1.9566 0.0000 6.2270
K Ho Sc O
3 2 1 6
direct
0.0000 0.0000 0.0000 K
0.3355 0.6645 0.0000 K
0.6645 0.3355 0.0000 K
0.1667 0.8333 0.5000 Ho
0.8333 0.1667 0.5000 Ho
0.5000 0.5000 0.5000 Sc
0.1187 0.4393 0.3177 O
0.2400 0.2400 0.6818 O
0.4393 0.1187 0.3177 O
0.5607 0.8813 0.6823 O
0.7600 0.7600 0.3182 O
0.8813 0.5607 0.6823 O
```

- Mass density: 5.25 g/cm³
- Electronic total energy: -6.807 eV/atom
- Energy relative to the elements, uncorrected: -2763 meV per atom

---

A relaxed K2HoScO4 crystal, computed with GGA-PBE.

```
K2HoScO4
1.0
5.8110 0.0000 0.0000
0.0000 3.3621 0.0000
-1.9365 0.0000 6.2115
K Ho Sc O
2 1 1 4
direct
0.0000 0.0000 0.0000 K
0.5000 0.5000 0.0000 K
0.0000 0.5000 0.5000 Ho
0.5000 0.0000 0.5000 Sc
0.2396 0.0000 0.6823 O
0.2836 0.5000 0.3201 O
0.7164 0.5000 0.6799 O
0.7604 0.0000 0.3177 O
```

- Mass density: 4.82 g/cm³
- Electronic total energy: -6.868 eV/atom
- Energy relative to the elements, uncorrected: -2751 meV per atom

---

A relaxed K3HoSc2O6 crystal, computed with GGA-PBE.

```
K3HoSc2O6
1.0
2.8752 -4.9802 0.0000
2.8752 4.9802 0.0000
-1.9162 0.0000 6.1961
K Ho Sc O
3 1 2 6
direct
0.0000 0.0000 0.0000 K
0.3321 0.6679 0.0000 K
0.6679 0.3321 0.0000 K
0.5000 0.5000 0.5000 Ho
0.1666 0.8334 0.5000 Sc
0.8334 0.1666 0.5000 Sc
0.0937 0.4400 0.3202 O
0.2136 0.2136 0.6800 O
0.4400 0.0937 0.3202 O
0.5600 0.9063 0.6798 O
0.7864 0.7864 0.3200 O
0.9063 0.5600 0.6798 O
```

- Mass density: 4.38 g/cm³
- Electronic total energy: -6.943 eV/atom
- Energy relative to the elements, uncorrected: -2753 meV per atom

---

A relaxed K2HoSe2O6 crystal, computed with GGA-PBE.

```
K2HoSe2O6
1.0
4.6491 -3.1053 0.0000
4.6491 3.1053 0.0000
-2.6451 0.0000 6.6831
K Ho Se O
2 1 2 6
direct
0.1991 0.1991 0.1423 K
0.8009 0.8009 0.8577 K
0.0000 0.0000 0.5000 Ho
0.4243 0.4243 0.7609 Se
0.5757 0.5757 0.2391 Se
0.2241 0.7311 0.2550 O
0.2569 0.2569 0.5490 O
0.2689 0.7759 0.7450 O
0.7311 0.2241 0.2550 O
0.7431 0.7431 0.4510 O
0.7759 0.2689 0.7450 O
```

- Mass density: 4.28 g/cm³
- Electronic total energy: -5.542 eV/atom
- Energy relative to the elements, uncorrected: -1588 meV per atom

---

A relaxed K2HoSiO4 crystal, computed with GGA-PBE.

```
K2HoSiO4
1.0
0.0000 6.2227 11.4071
2.8066 0.0000 11.4071
2.8066 6.2227 0.0000
K Ho Si O
4 2 2 8
direct
0.0593 0.0593 0.6907 K
0.3093 0.3093 0.9407 K
0.6907 0.6907 0.0593 K
0.9407 0.9407 0.3093 K
0.1250 0.1250 0.1250 Ho
0.8750 0.8750 0.8750 Ho
0.3750 0.3750 0.3750 Si
0.6250 0.6250 0.6250 Si
0.0703 0.6062 0.5206 O
0.3028 0.5206 0.6062 O
0.3938 0.9297 0.6972 O
0.4794 0.6972 0.9297 O
0.5206 0.3028 0.0703 O
0.6062 0.0703 0.3028 O
0.6972 0.4794 0.3938 O
0.9297 0.3938 0.4794 O
```

- Mass density: 2.79 g/cm³
- Electronic total energy: -6.182 eV/atom
- Energy relative to the elements, uncorrected: -2179 meV per atom

---

A relaxed K2Ho2SiO6 crystal, computed with GGA-PBE.

```
K2Ho2SiO6
1.0
2.8135 -4.8109 0.0000
2.8135 4.8109 0.0000
-1.6719 0.0000 6.3342
K Ho Si O
2 2 1 6
direct
0.1611 0.8389 0.0000 K
0.8389 0.1611 0.0000 K
0.3345 0.6655 0.5000 Ho
0.6655 0.3345 0.5000 Ho
0.0000 0.0000 0.5000 Si
0.0460 0.3325 0.6627 O
0.2244 0.2244 0.3383 O
0.3325 0.0460 0.6627 O
0.6675 0.9540 0.3373 O
0.7756 0.7756 0.6617 O
0.9540 0.6675 0.3373 O
```

- Mass density: 5.15 g/cm³
- Electronic total energy: -6.874 eV/atom
- Energy relative to the elements, uncorrected: -2645 meV per atom

---

A relaxed K3HoSi2O7 crystal, computed with GGA-PBE.

```
K3HoSi2O7
1.0
9.9301 0.0000 0.0000
-4.9651 8.5997 0.0000
0.0000 0.0000 14.4627
K Ho Si O
18 6 12 42
direct
0.0000 0.0000 0.0000 K
0.0000 0.0000 0.5000 K
0.0000 0.3321 0.0918 K
0.0000 0.3321 0.4082 K
0.0000 0.6679 0.5918 K
0.0000 0.6679 0.9082 K
0.3321 0.0000 0.0918 K
0.3321 0.0000 0.4082 K
0.3321 0.3321 0.5918 K
0.3321 0.3321 0.9082 K
0.3333 0.6667 0.2500 K
0.3333 0.6667 0.7500 K
0.6667 0.3333 0.2500 K
0.6667 0.3333 0.7500 K
0.6679 0.0000 0.5918 K
0.6679 0.0000 0.9082 K
0.6679 0.6679 0.0918 K
0.6679 0.6679 0.4082 K
0.0000 0.0000 0.2500 Ho
0.0000 0.0000 0.7500 Ho
0.3333 0.6667 0.0000 Ho
0.3333 0.6667 0.5000 Ho
0.6667 0.3333 0.0000 Ho
0.6667 0.3333 0.5000 Ho
0.0000 0.3418 0.6427 Si
0.0000 0.3418 0.8573 Si
0.0000 0.6582 0.1427 Si
0.0000 0.6582 0.3573 Si
0.3418 0.0000 0.6427 Si
0.3418 0.0000 0.8573 Si
0.3418 0.3418 0.1427 Si
0.3418 0.3418 0.3573 Si
0.6582 0.0000 0.1427 Si
0.6582 0.0000 0.3573 Si
0.6582 0.6582 0.6427 Si
0.6582 0.6582 0.8573 Si
0.0000 0.1770 0.6483 O
0.0000 0.1770 0.8517 O
0.0000 0.4087 0.7500 O
0.0000 0.5913 0.2500 O
0.0000 0.8230 0.1483 O
0.0000 0.8230 0.3517 O
0.1559 0.4777 0.5914 O
0.1559 0.4777 0.9086 O
0.1559 0.6781 0.0914 O
0.1559 0.6781 0.4086 O
0.1770 0.0000 0.6483 O
0.1770 0.0000 0.8517 O
0.1770 0.1770 0.1483 O
0.1770 0.1770 0.3517 O
0.3219 0.4777 0.0914 O
0.3219 0.4777 0.4086 O
0.3219 0.8441 0.5914 O
0.3219 0.8441 0.9086 O
0.4087 0.0000 0.7500 O
0.4087 0.4087 0.2500 O
0.4777 0.1559 0.5914 O
0.4777 0.1559 0.9086 O
0.4777 0.3219 0.0914 O
0.4777 0.3219 0.4086 O
0.5223 0.6781 0.5914 O
0.5223 0.6781 0.9086 O
0.5223 0.8441 0.0914 O
0.5223 0.8441 0.4086 O
0.5913 0.0000 0.2500 O
0.5913 0.5913 0.7500 O
0.6781 0.1559 0.0914 O
0.6781 0.1559 0.4086 O
0.6781 0.5223 0.5914 O
0.6781 0.5223 0.9086 O
0.8230 0.0000 0.1483 O
0.8230 0.0000 0.3517 O
0.8230 0.8230 0.6483 O
0.8230 0.8230 0.8517 O
0.8441 0.3219 0.5914 O
0.8441 0.3219 0.9086 O
0.8441 0.5223 0.0914 O
0.8441 0.5223 0.4086 O
```

- Mass density: 3.63 g/cm³
- Electronic total energy: -6.825 eV/atom
- Energy relative to the elements, uncorrected: -2715 meV per atom

---

A relaxed K2HoSi2O6 crystal, computed with GGA-PBE.

```
K2HoSi2O6
1.0
5.0712 -2.9259 0.0000
5.0712 2.9259 0.0000
-3.4735 0.0000 5.8771
K Ho Si O
2 1 2 6
direct
0.2101 0.2101 0.1526 K
0.7899 0.7899 0.8474 K
0.0000 0.0000 0.5000 Ho
0.4376 0.4376 0.7821 Si
0.5624 0.5624 0.2179 Si
0.2572 0.2572 0.6966 O
0.2591 0.7272 0.2558 O
0.2728 0.7409 0.7442 O
0.7272 0.2591 0.2558 O
0.7409 0.2728 0.7442 O
0.7428 0.7428 0.3034 O
```

- Mass density: 3.76 g/cm³
- Electronic total energy: -6.874 eV/atom
- Energy relative to the elements, uncorrected: -2568 meV per atom

---

A relaxed KHoSi2O6 crystal, computed with GGA-PBE.

```
KHoSi2O6
1.0
5.1515 -4.9190 0.0000
5.1515 4.9190 0.0000
-1.2267 0.0000 5.3321
K Ho Si O
2 2 4 12
direct
0.1780 0.8220 0.7500 K
0.8220 0.1780 0.2500 K
0.3852 0.6148 0.2500 Ho
0.6148 0.3852 0.7500 Ho
0.1354 0.3008 0.7845 Si
0.3008 0.1354 0.2845 Si
0.6992 0.8646 0.7155 Si
0.8646 0.6992 0.2155 Si
0.0809 0.6217 0.2729 O
0.1537 0.1754 0.0228 O
0.1754 0.1537 0.5228 O
0.3091 0.4535 0.8567 O
0.3783 0.9191 0.2271 O
0.4535 0.3091 0.3567 O
0.5465 0.6909 0.6433 O
0.6217 0.0809 0.7729 O
0.6909 0.5465 0.1433 O
0.8246 0.8463 0.4772 O
0.8463 0.8246 0.9772 O
0.9191 0.3783 0.7271 O
```

- Mass density: 4.38 g/cm³
- Electronic total energy: -7.544 eV/atom
- Energy relative to the elements, uncorrected: -2917 meV per atom